No. 1
A plane-wave DFT calculation with GGA-PBEsol was carried out for an optimized crystal structure of LuSn2.

Output
D(E_F): 5.37 states/eV/cell
DFT formation energy: -0.571 eV per atom
total DFT energy (no corrections): -5.035 eV/atom

POSCAR file:
```
LuSn2
1.0
4.313 0.000 0.000
0.000 15.771 0.000
0.000 0.000 4.252
Lu Sn
4 8
direct
0.000 0.097 0.250 Lu
0.000 0.903 0.750 Lu
0.500 0.403 0.750 Lu
0.500 0.597 0.250 Lu
0.000 0.251 0.750 Sn
0.000 0.434 0.250 Sn
0.000 0.566 0.750 Sn
0.000 0.749 0.250 Sn
0.500 0.066 0.750 Sn
0.500 0.249 0.250 Sn
0.500 0.751 0.750 Sn
0.500 0.934 0.250 Sn
```

***

No. 2
A plane-wave DFT calculation with GGA-PBEsol was carried out for an optimized crystal structure of Lu5Sn3.

Output
D(E_F): 8.16 states/eV/cell
DFT formation energy: -0.722 eV per atom
total DFT energy (no corrections): -5.365 eV/atom

POSCAR file:
```
Lu5Sn3
1.0
8.643 0.000 0.000
-4.321 7.485 0.000
0.000 0.000 6.276
Lu Sn
10 6
direct
0.000 0.237 0.250 Lu
0.000 0.763 0.750 Lu
0.237 0.000 0.250 Lu
0.237 0.237 0.750 Lu
0.333 0.667 0.000 Lu
0.333 0.667 0.500 Lu
0.667 0.333 0.000 Lu
0.667 0.333 0.500 Lu
0.763 0.000 0.750 Lu
0.763 0.763 0.250 Lu
0.000 0.396 0.750 Sn
0.000 0.604 0.250 Sn
0.396 0.000 0.750 Sn
0.396 0.396 0.250 Sn
0.604 0.000 0.250 Sn
0.604 0.604 0.750 Sn
```

***

No. 3
A plane-wave DFT calculation with GGA-PBEsol was carried out for an optimized crystal structure of TbLu.

Output
D(E_F): 3.28 states/eV/cell
DFT formation energy: 0.015 eV per atom
total DFT energy (no corrections): -4.926 eV/atom

POSCAR file:
```
TbLu
1.0
3.505 0.000 0.000
-1.752 3.035 0.000
0.000 0.000 5.460
Tb Lu
1 1
direct
0.000 0.000 0.000 Tb
0.667 0.333 0.500 Lu
```

***

No. 4
A plane-wave DFT calculation with GGA-PBEsol was carried out for an optimized crystal structure of Tb3Lu.

Output
D(E_F): 5.27 states/eV/cell
DFT formation energy: 0.016 eV per atom
total DFT energy (no corrections): -4.959 eV/atom

POSCAR file:
```
Tb3Lu
1.0
4.885 0.000 0.000
0.000 4.885 0.000
0.000 0.000 4.885
Tb Lu
3 1
direct
0.000 0.000 0.500 Tb
0.000 0.500 0.000 Tb
0.500 0.000 0.000 Tb
0.500 0.500 0.500 Lu
```